## K2LaW3O12 (PBE with a Hubbard U)

Data for a relaxed structure of K2LaW3O12.

## Properties
The total energy comes out at -7.0461 eV/atom. The theoretical density is 5.1 g/cm³.

Cell lengths 7.5651, 7.5651, 19.0367 Å; angles 90.00, 90.00, 120.00 degrees
Last column: nearest neighbours and their distance in Å.
Space group R-3m (No. 166, hexagonal axes)
Symmetry-distinct sites (fractional):
1 K 0.0000 0.0000 0.1510  3 O 2.80
2 La 0.0000 0.0000 0.5000  6 O 2.41
3 W 0.0000 0.5000 0.0000  6 O 1.91-1.96
4 O 0.0203 0.5101 0.1000  1 W 1.91
5 O 0.0917 0.5458 0.3382  2 W 1.96